1.
YAs2Os | PBE | optimized geometry

```
data_YAs2Os
_chemical_formula_sum 'Y1 As2 Os1'
_space_group_name_H-M_alt 'P 1 2/m 1'
_space_group_IT_number 10
_cell_length_a 4.088
_cell_length_b 4.117
_cell_length_c 4.921
_cell_angle_alpha 90.00
_cell_angle_beta 97.21
_cell_angle_gamma 90.00
loop_
_space_group_symop_operation_xyz
'x,y,z'
'-x,-y,-z'
'-x,y,-z'
'x,-y,z'
loop_
_atom_site_label
_atom_site_type_symbol
_atom_site_fract_x
_atom_site_fract_y
_atom_site_fract_z
Y1 Y 0.000 0.000 0.000
As1 As 0.373 0.500 0.747
Os1 Os 0.500 0.000 0.500
```

Properties
As for the density of states at the Fermi level: 0.630 states/eV per atom. The formation energy is -397 meV per atom. For the final energy, the calculation gives -28.58 eV for the cell shown. The calculation puts the calculated volume at 20.54 Å³/atom.

***

2.
Nd3Tl2Zn | PBE | optimized geometry

```
data_Nd3Tl2Zn
_chemical_formula_sum 'Nd3 Tl2 Zn1'
_space_group_name_H-M_alt 'P 4/m m m'
_space_group_IT_number 123
_space_group_name_Hall '-P 4 2'
_cell_length_a 3.767
_cell_length_b 3.767
_cell_length_c 11.934
_cell_angle_alpha 90.00
_cell_angle_beta 90.00
_cell_angle_gamma 90.00
loop_
_atom_site_label
_atom_site_type_symbol
_atom_site_fract_x
_atom_site_fract_y
_atom_site_fract_z
Nd1 Nd 0.000 0.000 0.000
Nd2 Nd 0.000 0.000 0.353
Tl1 Tl 0.500 0.500 0.177
Zn1 Zn 0.500 0.500 0.500
```

Properties
As for the density of states at the Fermi level: 0.897 states/eV per atom. The formation energy is -369 meV per atom. For the final energy, the calculation gives -22.52 eV for the cell shown. The calculation puts the calculated volume at 28.22 Å³/atom.

***

3.
AcTa2O7 | PBE | optimized geometry

```
data_AcTa2O7
_chemical_formula_sum 'Ac2 Ta4 O14'
_space_group_name_H-M_alt 'C m m m'
_space_group_IT_number 65
_space_group_name_Hall '-C 2 2'
_cell_length_a 6.345
_cell_length_b 10.368
_cell_length_c 3.914
_cell_angle_alpha 90.00
_cell_angle_beta 90.00
_cell_angle_gamma 90.00
loop_
_atom_site_label
_atom_site_type_symbol
_atom_site_fract_x
_atom_site_fract_y
_atom_site_fract_z
Ac1 Ac 0.000 0.000 0.000
Ta1 Ta 0.000 0.302 0.500
O1 O 0.000 0.284 0.000
O2 O 0.000 0.500 0.500
O3 O 0.193 0.135 0.500
```

Properties
The formation energy from raw total energies comes out at -2759 kJ/mol of formula units. As for the density of states at the Fermi level: 0.020 states/eV per atom. For the final energy, the calculation gives -182.24 eV for the cell shown. The calculation puts the calculated volume at 12.87 Å³/atom.

***

4.
MnPRhCl2 | PBE | optimized geometry

```
data_MnPRhCl2
_chemical_formula_sum 'Mn1 P1 Rh1 Cl2'
_space_group_name_H-M_alt 'P 4/m m m'
_space_group_IT_number 123
_space_group_name_Hall '-P 4 2'
_cell_length_a 4.893
_cell_length_b 4.893
_cell_length_c 4.548
_cell_angle_alpha 90.00
_cell_angle_beta 90.00
_cell_angle_gamma 90.00
loop_
_atom_site_label
_atom_site_type_symbol
_atom_site_fract_x
_atom_site_fract_y
_atom_site_fract_z
Mn1 Mn 0.000 0.000 0.000
P1 P 0.500 0.500 0.000
Rh1 Rh 0.500 0.500 0.500
Cl1 Cl 0.000 0.500 0.500
```

Properties
The formation energy from raw total energies comes out at 138 kJ/mol of formula units. As for the density of states at the Fermi level: 0.604 states/eV per atom. For the final energy, the calculation gives -24.20 eV for the cell shown. The calculation puts the calculated volume at 21.78 Å³/atom.